Entry 1:
TbDy6Er2: relaxed, PBE.

```
9
Lattice="-5.827 2.522 -2.792 -5.973 -3.449 0.735 -5.318 3.424 5.576" Properties=species:S:1:pos:R:3 pbc="T T T"
Dy -5.357 2.361 0.275
Dy -6.858 2.041 3.171
Dy -2.367 1.067 1.708
Dy -5.432 -0.703 2.085
Dy -9.802 0.340 3.533
Dy -9.731 3.284 1.794
Er -12.851 1.906 2.695
Er -8.219 0.331 0.220
Tb -9.248 3.105 4.874
```

Properties
Total moment   0.0 Bohr magnetons per cell
ΔH_f (0 K)   0.3944 eV/atom
Calculated density   7.887 Mg/m³
Energy above the lowest structure with this stoichiometry   0.377 eV per atom

=====

Entry 2:
BaNiW: relaxed, PBE.

```
6
Lattice="8.872 -0.010 0.045 0.011 4.006 -0.002 -0.667 0.003 4.947" Properties=species:S:1:pos:R:3 pbc="T T T"
W 1.792 3.399 0.649
W 0.056 1.402 4.208
Ba 3.492 1.388 3.474
Ba 7.228 3.397 1.426
Ni 1.035 3.403 3.059
Ni 0.813 1.400 1.799
```

Properties
Total moment   0.0 Bohr magnetons per cell
ΔH_f (0 K)   0.4100 eV/atom
Calculated density   7.171 Mg/m³
Energy above the lowest structure with this stoichiometry   0.090 eV per atom

=====

Entry 3:
Ba2HgIrO6: relaxed, PBE.

```
10
Lattice="-4.597 -2.880 2.493 0.549 -5.859 1.006 0.558 -1.856 5.647" Properties=species:S:1:pos:R:3 pbc="T T T"
Ir 0.000 -0.001 0.000
O -2.692 -7.358 3.839
O -3.353 -4.248 3.163
O -0.798 -3.238 5.307
O -3.333 -5.001 6.325
O -0.157 -5.595 2.822
O -0.137 -6.348 5.984
Hg -1.745 -5.298 4.573
Ba -2.623 -7.965 6.875
Ba -0.866 -2.630 2.271
```

Properties
Total moment   3.0 Bohr magnetons per cell
Calculated density   8.105 Mg/m³
Formation energy without anion corrections   -1.4648 eV/atom

=====

Entry 4:
LiPmErSb: relaxed, PBE.

```
4
Lattice="-1.252 3.909 3.262 -3.904 -0.609 3.446 1.061 -0.415 5.118" Properties=species:S:1:pos:R:3 pbc="T T T"
Li 0.000 0.000 0.000
Er -1.024 0.721 2.956
Sb -2.047 1.443 5.912
Pm -3.071 2.164 8.869
```

Properties
Total moment   0.0 Bohr magnetons per cell
Calculated density   7.186 Mg/m³
Formation energy without anion corrections   -0.4452 eV/atom